1.
Below is an optimized crystal structure of CsGaOs3, with properties calculated at the GGA-PBE level.

Cell lengths 4.7901, 4.7901, 4.7901 Å; angles 90.00, 90.00, 90.00 degrees
Each line ends with the local moment (μB).
Sites, in units of the cell vectors:
Ga (0.0000, 0.0000, 0.0000)  -0.03
Cs (0.5000, 0.5000, 0.5000)  0.07
Os (0.0000, 0.5000, 0.0000)  1.14
Os (0.5000, 0.0000, 0.0000)  0.76
Os (0.0000, 0.0000, 0.5000)  1.09

Summary:
* ΔE to the lowest computed polymorph: 0.0 kJ/mol of formula units
* electronic total energy: -26.33 eV/cell
* size of the total moment: 3.3 μB/cell
* space-group type: Pm-3m (221)
* ΔH_f (0 K): 2.2481 eV/atom
* theoretical density: 11.7 g cm⁻³

---

2.
Below is an optimized crystal structure of CsGaOsPb2, with properties calculated at the GGA-PBE level.

Cell lengths 5.3129, 6.2835, 5.3129 Å; angles 90.00, 90.00, 90.00 degrees
Sites, in units of the cell vectors:
Pb (0.0000, 0.0000, 0.5000)
Os (0.0000, 0.0000, 0.0000)
Cs (0.0000, 0.5000, 0.0000)
Ga (0.5000, 0.5000, 0.5000)
Pb (0.5000, 0.0000, 0.0000)

Summary:
* electronic total energy: -18.83 eV/cell
* size of the total moment: 0.0 μB/cell
* space-group type: P4/mmm (123)
* ΔH_f (0 K): 0.7396 eV/atom
* theoretical density: 7.6 g cm⁻³

---

3.
Below is an optimized crystal structure of CsSc2GaOs, with properties calculated at the GGA-PBE level.

Cell lengths 5.1972, 5.7878, 5.1972 Å; angles 90.00, 90.00, 90.00 degrees
Each line ends with the local moment (μB).
Sites, in units of the cell vectors:
Ga (0.0000, 0.0000, 0.0000)  -0.01
Sc (0.0000, 0.0000, 0.5000)  -0.31
Os (0.5000, 0.5000, 0.5000)  1.98
Sc (0.5000, 0.0000, 0.0000)  -0.36
Cs (0.0000, 0.5000, 0.0000)  0.00

Summary:
* electronic total energy: -20.45 eV/cell
* size of the total moment: 0.9 μB/cell
* space-group type: P4/mmm (123)
* ΔH_f (0 K): 1.4645 eV/atom
* theoretical density: 5.1 g cm⁻³

---

4.
Below is an optimized crystal structure of CsGa2SnOs, with properties calculated at the GGA-PBE level.

Cell lengths 4.9927, 4.9927, 5.2201 Å; angles 90.00, 90.00, 90.00 degrees
Sites, in units of the cell vectors:
Ga (0.5000, 0.0000, 0.0000)
Sn (0.0000, 0.0000, 0.5000)
Os (0.0000, 0.0000, 0.0000)
Ga (0.0000, 0.5000, 0.0000)
Cs (0.5000, 0.5000, 0.5000)

Summary:
* electronic total energy: -22.26 eV/cell
* size of the total moment: 0.0 μB/cell
* space-group type: P4/mmm (123)
* ΔH_f (0 K): -0.0247 eV/atom
* theoretical density: 7.4 g cm⁻³

---

5.
Below is an optimized crystal structure of CsTlGa2Os, with properties calculated at the GGA-PBE level.

Cell lengths 4.9945, 4.9945, 5.3875 Å; angles 90.00, 90.00, 90.00 degrees
Sites, in units of the cell vectors:
Ga (0.5000, 0.0000, 0.0000)
Ga (0.0000, 0.5000, 0.0000)
Tl (0.0000, 0.0000, 0.5000)
Os (0.0000, 0.0000, 0.0000)
Cs (0.5000, 0.5000, 0.5000)

Summary:
* electronic total energy: -20.70 eV/cell
* size of the total moment: 0.0 μB/cell
* space-group type: P4/mmm (123)
* ΔH_f (0 K): -0.0383 eV/atom
* theoretical density: 8.2 g cm⁻³

---

6.
Below is an optimized crystal structure of CsGa2P, with properties calculated at the GGA-PBE level.

Cell lengths 8.2556, 8.2556, 6.8918 Å; angles 53.21, 53.21, 90.00 degrees
Sites, in units of the cell vectors:
Ga (0.2241, 0.6250, 0.2500)
Ga (0.8750, 0.7759, 0.7500)
Ga (0.3750, 0.4741, 0.7500)
P (0.2500, 0.7500, 0.5000)
Cs (0.0000, 0.0000, 0.0000)
P (0.5000, 0.5000, 0.0000)
Cs (0.7500, 0.2500, 0.5000)
Ga (0.5259, 0.1250, 0.2500)

Summary:
* electronic total energy: -24.31 eV/cell
* size of the total moment: 0.0 μB/cell
* space-group type: I-42d (122)
* ΔH_f (0 K): 0.0404 eV/atom
* theoretical density: 4.0 g cm⁻³

---

7.
Below is an optimized crystal structure of Cs3GaP, with properties calculated at the GGA-PBE level.

Cell lengths 6.8889, 6.8889, 6.8889 Å; angles 90.00, 90.00, 90.00 degrees
Each line ends with the local moment (μB).
Sites, in units of the cell vectors:
Cs (0.0000, 0.0000, 0.5000)  0.05
Ga (0.5000, 0.5000, 0.5000)  0.31
P (0.0000, 0.0000, 0.0000)  0.39
Cs (0.5000, 0.0000, 0.0000)  0.02
Cs (0.0000, 0.5000, 0.0000)  0.03

Summary:
* ΔE to the lowest computed polymorph: 0.0 kJ/mol of formula units
* electronic total energy: -9.64 eV/cell
* size of the total moment: 2.7 μB/cell
* space-group type: Pm-3m (221)
* ΔH_f (0 K): 0.2721 eV/atom
* theoretical density: 2.5 g cm⁻³

---

8.
Below is an optimized crystal structure of CsGa3P, with properties calculated at the GGA-PBE level.

Cell lengths 5.2386, 5.2386, 5.2386 Å; angles 90.00, 90.00, 90.00 degrees
Sites, in units of the cell vectors:
Cs (0.5000, 0.5000, 0.5000)
Ga (0.0000, 0.5000, 0.0000)
P (0.0000, 0.0000, 0.0000)
Ga (0.5000, 0.0000, 0.0000)
Ga (0.0000, 0.0000, 0.5000)

Summary:
* ΔE to the lowest computed polymorph: 0.0 kJ/mol of formula units
* electronic total energy: -13.82 eV/cell
* size of the total moment: 0.0 μB/cell
* space-group type: Pm-3m (221)
* ΔH_f (0 K): 0.3040 eV/atom
* theoretical density: 4.3 g cm⁻³

---

9.
Below is an optimized crystal structure of CsGa3P3, with properties calculated at the GGA-PBE level.

Cell lengths 7.1473, 7.1473, 9.5519 Å; angles 68.03, 68.03, 60.00 degrees
Sites, in units of the cell vectors:
P (0.2261, 0.5604, 0.3196)
P (0.1061, 0.7739, 0.6804)
P (0.7739, 0.4396, 0.6804)
P (0.8939, 0.2261, 0.3196)
Ga (0.5388, 0.2039, 0.3873)
P (0.5604, 0.8939, 0.3196)
Ga (0.8700, 0.5388, 0.3873)
Ga (0.2039, 0.8700, 0.3873)
Ga (0.1300, 0.4612, 0.6127)
P (0.4396, 0.1061, 0.6804)
Cs (0.3334, 0.3334, 0.9998)
Ga (0.4612, 0.7961, 0.6127)
Ga (0.7961, 0.1300, 0.6127)
Cs (0.6666, 0.6666, 0.0002)

Summary:
* electronic total energy: -56.42 eV/cell
* size of the total moment: 0.0 μB/cell
* space-group type: R-3 (148)
* ΔH_f (0 K): -0.2925 eV/atom
* theoretical density: 3.8 g cm⁻³

---

10.
Below is an optimized crystal structure of CsGa3P, with properties calculated at the GGA-PBE level.

Cell lengths 5.9410, 5.9410, 5.9410 Å; angles 90.00, 90.00, 90.00 degrees
Each line ends with the local moment (μB).
Sites, in units of the cell vectors:
Cs (0.0000, 0.0000, 0.0000)  0.05
Ga (0.0000, 0.5000, 0.0000)  0.03
P (0.5000, 0.5000, 0.5000)  -0.23
Ga (0.5000, 0.0000, 0.0000)  0.13
Ga (0.0000, 0.0000, 0.5000)  0.03

Summary:
* ΔE to the lowest computed polymorph: 608.7 kJ/mol of formula units
* electronic total energy: -7.51 eV/cell
* size of the total moment: 0.1 μB/cell
* space-group type: Pm-3m (221)
* ΔH_f (0 K): 1.5658 eV/atom
* theoretical density: 3.0 g cm⁻³